# 1
Compound: Cs3Ho2Cl9
Source: Alexandria
Functional: GGA-PBE
Structure: relaxed

Output
Energy relative to the elements, uncorrected = -215 kJ per mole of atoms
Final energy = -4.2473 eV/atom

Lattice parameters (Å, degrees): 9.9674 9.9674 9.9674 83.90 83.90 83.90
Fractional coordinates of all 28 atoms:
Cl  0.4152  0.2358  0.5774
Cl  0.5997  0.9003  0.7500
Cl  0.7500  0.5997  0.9003
Cl  0.4226  0.5848  0.7642
Cs  0.5890  0.2500  0.9110
Cl  0.4003  0.0997  0.2500
Cl  0.7358  0.9152  0.0774
Cl  0.7642  0.4226  0.5848
Cl  0.0774  0.7358  0.9152
Cl  0.2642  0.0848  0.9226
Cs  0.0890  0.4110  0.7500
Ho  0.3489  0.3489  0.3489
Ho  0.8489  0.8489  0.8489
Cl  0.9003  0.7500  0.5997
Ho  0.6511  0.6511  0.6511
Cs  0.9110  0.5890  0.2500
Cl  0.9226  0.2642  0.0848
Cl  0.5848  0.7642  0.4226
Cl  0.2358  0.5774  0.4152
Cl  0.9152  0.0774  0.7358
Cl  0.0997  0.2500  0.4003
Cs  0.4110  0.7500  0.0890
Cs  0.2500  0.9110  0.5890
Cl  0.0848  0.9226  0.2642
Ho  0.1511  0.1511  0.1511
Cl  0.5774  0.4152  0.2358
Cs  0.7500  0.0890  0.4110
Cl  0.2500  0.4003  0.0997

***

# 2
Compound: RbSc2Ti2
Source: Alexandria
Functional: GGA-PBE
Structure: relaxed

Output
Formation energy from the elements = 1.10 eV/atom
Final energy = -4.7840 eV/atom
E above lowest polymorph = 500 meV per atom

Lattice parameters (Å, degrees): 4.6630 4.6630 7.2978 71.37 71.37 90.00
Each line ends with the local moment (μB).
Fractional coordinates of all 5 atoms:
Ti  0.4160  0.4160  0.1681  0.05
Rb  0.0000  0.0000  0.0000  0.01
Sc  0.2500  0.7500  0.5000  0.21
Ti  0.5840  0.5840  0.8319  0.05
Sc  0.7500  0.2500  0.5000  0.21

***

# 3
Compound: Li2CuRh
Source: Alexandria
Functional: GGA-PBE
Structure: relaxed

Output
Formation energy from the elements = -0.04 eV/atom
Final energy = -3.8626 eV/atom
E above lowest polymorph = 85 meV per atom

Lattice parameters (Å, degrees): 2.6072 2.6072 7.8198 90.00 90.00 90.00
Fractional coordinates of all 4 atoms:
Rh  0.5000  0.5000  0.2500
Li  0.0000  0.0000  0.4996
Li  0.0000  0.0000  0.0004
Cu  0.5000  0.5000  0.7500

***

What is the formula in the first record? Cs3Ho2Cl9

***

Copy entry 2 word for word.
Compound: RbSc2Ti2
Source: Alexandria
Functional: GGA-PBE
Structure: relaxed

Output
Formation energy from the elements = 1.10 eV/atom
Final energy = -4.7840 eV/atom
E above lowest polymorph = 500 meV per atom

Lattice parameters (Å, degrees): 4.6630 4.6630 7.2978 71.37 71.37 90.00
Each line ends with the local moment (μB).
Fractional coordinates of all 5 atoms:
Ti  0.4160  0.4160  0.1681  0.05
Rb  0.0000  0.0000  0.0000  0.01
Sc  0.2500  0.7500  0.5000  0.21
Ti  0.5840  0.5840  0.8319  0.05
Sc  0.7500  0.2500  0.5000  0.21

***

What did the third record say?
Compound: Li2CuRh
Source: Alexandria
Functional: GGA-PBE
Structure: relaxed

Output
Formation energy from the elements = -0.04 eV/atom
Final energy = -3.8626 eV/atom
E above lowest polymorph = 85 meV per atom

Lattice parameters (Å, degrees): 2.6072 2.6072 7.8198 90.00 90.00 90.00
Fractional coordinates of all 4 atoms:
Rh  0.5000  0.5000  0.2500
Li  0.0000  0.0000  0.4996
Li  0.0000  0.0000  0.0004
Cu  0.5000  0.5000  0.7500

***

The lowest final energy belongs to which entry? RbSc2Ti2